Entry 1:
Crystalline YZrBSe2 at its relaxed geometry, computed with PBE-GGA.

Properties
Energy relative to the elements, uncorrected, eV/atom: 0.72
Space-group type: P4/mmm
Magnetic moment, μB per cell: 1.42
Crystal system: tetragonal

abc: 5.0551 5.0551 6.0984
angles: 90.00 90.00 90.00
With the nearest neighbours (Å) after each atom.
Sites, in units of the cell vectors:
Y  0.0000  0.0000  0.0000  2 Zr 3.05
Zr  0.0000  0.0000  0.5000  4 Se 2.53
B  0.5000  0.5000  0.0000  4 Y 3.57, 8 Se 3.96
Se  0.0000  0.5000  0.5000  2 Zr 2.53
Se  0.5000  0.0000  0.5000  2 Zr 2.53

---

Entry 2:
Crystalline Ca2FeRh at its relaxed geometry, computed with PBE-GGA.

Properties
Space-group type: Imm2
Magnetic moment, μB per cell: 3.03
Formation energy from the elements, kcal/mol of atoms: 0.71
Crystal system: orthorhombic

abc: 5.9435 5.9435 5.9435
angles: 144.93 131.54 61.21
With the nearest neighbours (Å) after each atom.
Sites, in units of the cell vectors:
Ca  0.0000  0.0000  0.0000  4 Fe 3.13, 4 Rh 3.25-3.43, 4 Ca 3.28-3.42
Ca  0.7147  0.2147  0.5000  4 Rh 3.07, 2 Fe 3.24, 4 Ca 3.28-3.42
Fe  0.4232  0.4232  0.0000  2 Rh 2.41
Rh  0.2649  0.7649  0.5000  2 Fe 2.41

---

Entry 3:
Crystalline Ac3Sn6Rh5 at its relaxed geometry, computed with PBE-GGA.

Properties
Space-group type: Pmmn
Magnetic moment, μB per cell: 0.00
Formation energy from the elements, kcal/mol of atoms: -15.44
Crystal system: orthorhombic

abc: 4.4946 14.1191 10.1557
angles: 90.00 90.00 90.00
With the nearest neighbours (Å) after each atom.
Sites, in units of the cell vectors:
Ac  0.2500  0.0528  0.2472  8 Sn 3.21-3.57, 4 Rh 3.24-3.32
Ac  0.2500  0.4472  0.2472  8 Sn 3.21-3.57, 4 Rh 3.24-3.32
Ac  0.2500  0.7500  0.2700  6 Rh 3.19-3.44
Ac  0.7500  0.2500  0.7300  6 Rh 3.19-3.44
Ac  0.7500  0.5528  0.7528  8 Sn 3.21-3.57, 4 Rh 3.24-3.32
Ac  0.7500  0.9472  0.7528  8 Sn 3.21-3.57, 4 Rh 3.24-3.32
Sn  0.2500  0.0716  0.5887  4 Rh 2.78-3.00
Sn  0.2500  0.2500  0.0278  4 Rh 2.79-2.85
Sn  0.2500  0.2500  0.4052  6 Rh 2.79-3.06
Sn  0.2500  0.4284  0.5887  4 Rh 2.78-3.00
Sn  0.2500  0.5948  0.9862  4 Rh 2.72-2.93
Sn  0.2500  0.9052  0.9862  4 Rh 2.72-2.93
Sn  0.7500  0.0948  0.0138  4 Rh 2.72-2.93
Sn  0.7500  0.4052  0.0138  4 Rh 2.72-2.93
Sn  0.7500  0.5716  0.4113  4 Rh 2.78-3.00
Sn  0.7500  0.7500  0.5948  6 Rh 2.79-3.06
Sn  0.7500  0.7500  0.9722  4 Rh 2.79-2.85
Sn  0.7500  0.9284  0.4113  4 Rh 2.78-3.00
Rh  0.2500  0.0923  0.8622  5 Sn 2.72-2.93
Rh  0.2500  0.4077  0.8622  5 Sn 2.72-2.93
Rh  0.2500  0.6387  0.5435  5 Sn 2.78-3.00, 1 Rh 3.04
Rh  0.2500  0.7500  0.7996  6 Sn 2.85-3.06, 2 Rh 3.04
Rh  0.2500  0.8613  0.5435  5 Sn 2.78-3.00, 1 Rh 3.04
Rh  0.7500  0.1387  0.4565  5 Sn 2.78-3.00, 1 Rh 3.04
Rh  0.7500  0.2500  0.2004  6 Sn 2.85-3.06, 2 Rh 3.04
Rh  0.7500  0.3613  0.4565  5 Sn 2.78-3.00, 1 Rh 3.04
Rh  0.7500  0.5923  0.1378  5 Sn 2.72-2.93
Rh  0.7500  0.9077  0.1378  5 Sn 2.72-2.93

---

Entry 4:
Crystalline CaMn2Rh at its relaxed geometry, computed with PBE-GGA.

Properties
Space-group type: Immm
Magnetic moment, μB per cell: 8.16
Formation energy from the elements, kcal/mol of atoms: 4.52
Crystal system: orthorhombic

abc: 5.6951 5.6951 5.6951
angles: 148.02 130.44 60.21
With the nearest neighbours (Å) after each atom.
Sites, in units of the cell vectors:
Ca  0.0000  0.0000  0.0000  4 Rh 2.86, 2 Ca 3.14, 4 Mn 3.19
Mn  0.2852  0.7852  0.5000  2 Rh 2.63, 4 Mn 2.94
Mn  0.7148  0.2148  0.5000  2 Rh 2.63, 4 Mn 2.94
Rh  0.5000  0.5000  0.0000  4 Mn 2.63, 4 Ca 2.86

---

Entry 5:
Crystalline Zn2MoCl8 at its relaxed geometry, computed with PBE-GGA.

Properties
Energy relative to the elements, uncorrected, eV/atom: -0.92
Space-group type: C2/m
Magnetic moment, μB per cell: 2.00
Crystal system: monoclinic

abc: 8.3108 8.3108 6.0716
angles: 90.67 90.67 51.41
With the nearest neighbours (Å) after each atom.
Sites, in units of the cell vectors:
Zn  0.1575  0.1575  0.4106  4 Cl 2.16-2.39
Zn  0.8425  0.8425  0.5894  4 Cl 2.16-2.39
Mo  0.0000  0.0000  0.0000  6 Cl 2.39-2.41
Cl  0.1362  0.1362  0.7982  1 Zn 2.38, 1 Mo 2.39
Cl  0.1655  0.7061  0.7567  1 Zn 2.39, 1 Mo 2.41
Cl  0.2939  0.8345  0.2433  1 Zn 2.39, 1 Mo 2.41
Cl  0.2990  0.2990  0.3475  1 Zn 2.16
Cl  0.7010  0.7010  0.6525  1 Zn 2.16
Cl  0.7061  0.1655  0.7567  1 Zn 2.39, 1 Mo 2.41
Cl  0.8345  0.2939  0.2433  1 Zn 2.39, 1 Mo 2.41
Cl  0.8638  0.8638  0.2018  1 Zn 2.38, 1 Mo 2.39

---

Entry 6:
Crystalline TaSbW2 at its relaxed geometry, computed with PBE-GGA.

Properties
Energy relative to the elements, uncorrected, eV/atom: 0.44
Space-group type: P2/m
Magnetic moment, μB per cell: 0.00
Crystal system: monoclinic

abc: 2.9158 4.6468 5.4653
angles: 90.00 104.48 90.00
With the nearest neighbours (Å) after each atom.
Sites, in units of the cell vectors:
Ta  0.0000  0.0000  0.0000  2 Sb 2.76, 4 W 2.84, 2 Ta 2.92
Sb  0.5000  0.0000  0.5000  2 Ta 2.76, 2 Sb 2.92, 4 W 2.92
W  0.2333  0.5000  0.7561  4 W 2.73-2.92, 2 Ta 2.84, 2 Sb 2.92
W  0.7667  0.5000  0.2439  4 W 2.73-2.92, 2 Ta 2.84, 2 Sb 2.92